Density functional theory data (PBE with a Hubbard U) for a relaxed Ba3ErFe2O9 crystal.

Values from the calculation:
Theoretical density ... 6.56 g/cm3
Total energy ... -98.7 eV per cell
Space-group type ... No. 164

Cell and atoms, written as extended XYZ:
```
15
Lattice="5.8418 0.0000 0.0000 -2.9209 5.0592 0.0000 0.0000 0.0000 7.1535" Properties=species:S:1:pos:R:3 pbc="T T T"
Ba 0.0000 0.0000 0.0000
Ba 0.0000 3.3728 4.8370
Ba 2.9209 1.6864 2.3165
Er 0.0000 0.0000 3.5767
Fe 0.0000 3.3728 1.1774
Fe 2.9209 1.6864 5.9761
O -1.4605 2.5296 0.0000
O 0.0000 1.7789 2.2777
O -1.3804 4.1698 2.2777
O 1.5405 0.8894 4.8758
O 2.9209 0.0000 0.0000
O 1.4605 2.5296 0.0000
O 1.3804 4.1698 2.2777
O 4.3013 0.8894 4.8758
O 2.9209 3.2803 4.8758
```